# Ti3TcOs

An optimized crystal structure of Ti3TcOs (PBE-GGA, the Alexandria database).

offset from the most stable computed form	0.000	eV per atom
spin magnetization	0.001	μB/cell
ΔH_f (0 K)	-2.62	eV/f.u.

The structure in POSCAR format:
```
Ti3TcOs
1.0
4.203 0.000 -1.338
0.000 4.408 0.000
0.288 0.000 8.174
Os Ti Tc
2 6 2
direct
0.663 0.844 0.607
0.363 0.345 0.008
0.454 0.844 0.190
0.263 0.845 0.807
0.072 0.844 0.425
0.763 0.345 0.807
0.571 0.344 0.424
0.954 0.344 0.190
0.863 0.844 0.008
0.163 0.344 0.607
```